(1)
Density functional theory data (PBE) for an optimized crystal structure of LuTlPd.

The structure belongs to space group I4mm (No. 107); the cell edges are 3.717, 3.717 and 9.461 Å and the angles 90.00°, 90.00° and 90.00°. The asymmetric unit holds Lu at (0.000, 0.000, 0.000), Tl at (0.000, 0.000, 0.686) and Pd at (0.000, 0.000, 0.357).

Its energy of formation is -0.53 eV per atom.

(2)
Density functional theory data (PBE) for an optimized crystal structure of LuTlPd2.

The structure belongs to space group P4/mmm (No. 123); the cell edges are 4.609, 4.609 and 3.711 Å and the angles 90.00°, 90.00° and 90.00°. The asymmetric unit holds Lu at (0.000, 0.000, 0.000), Tl at (0.500, 0.500, 0.000) and Pd at (0.000, 0.500, 0.500).

Its energy of formation is -0.58 eV per atom.

(3)
Density functional theory data (PBE) for an optimized crystal structure of LuTlPd2.

The structure belongs to space group P4/mmm (No. 123); the cell edges are 3.483, 3.483 and 6.586 Å and the angles 90.00°, 90.00° and 90.00°. The asymmetric unit holds Lu at (0.000, 0.000, 0.000), Tl at (0.000, 0.000, 0.500) and Pd at (0.500, 0.500, 0.235).

Its energy of formation is -0.62 eV per atom.

(4)
Density functional theory data (PBE) for an optimized crystal structure of LuTlPd2.

The structure belongs to space group Fm-3m (No. 225); the cell edges are 6.767, 6.767 and 6.767 Å and the angles 90.00°, 90.00° and 90.00°. The asymmetric unit holds Lu at (0.000, 0.000, 0.000), Tl at (0.000, 0.000, 0.500) and Pd at (0.250, 0.250, 0.250).

Its energy of formation is -0.67 eV per atom.

(5)
Density functional theory data (PBE) for an optimized crystal structure of LuTlPd4.

The structure belongs to space group F-43m (No. 216); the cell edges are 7.607, 7.607 and 7.607 Å and the angles 90.00°, 90.00° and 90.00°. The asymmetric unit holds Lu at (0.000, 0.000, 0.000), Tl at (0.250, 0.250, 0.750) and Pd at (0.125, 0.125, 0.375).

Its energy of formation is -0.55 eV per atom.

(6)
Density functional theory data (PBE) for an optimized crystal structure of TmLuTlPd.

The structure belongs to space group F-43m (No. 216); the cell edges are 7.201, 7.201 and 7.201 Å and the angles 90.00°, 90.00° and 90.00°. The asymmetric unit holds Tm at (0.000, 0.000, 0.000), Lu at (0.000, 0.000, 0.500), Tl at (0.250, 0.250, 0.750) and Pd at (0.250, 0.250, 0.250).

Its energy of formation is -0.56 eV per atom.

(7)
Density functional theory data (PBE) for an optimized crystal structure of TmLuPd4.

The structure belongs to space group F-43m (No. 216); the cell edges are 7.641, 7.641 and 7.641 Å and the angles 90.00°, 90.00° and 90.00°. The asymmetric unit holds Tm at (0.000, 0.000, 0.000), Lu at (0.250, 0.250, 0.250) and Pd at (0.125, 0.125, 0.625).

Its energy of formation is -0.82 eV per atom.

(8)
Density functional theory data (PBE) for an optimized crystal structure of TmLuPd2.

The structure belongs to space group P4/mmm (No. 123); the cell edges are 4.901, 4.901 and 3.415 Å and the angles 90.00°, 90.00° and 90.00°. The asymmetric unit holds Tm at (0.000, 0.000, 0.000), Lu at (0.500, 0.500, 0.000) and Pd at (0.000, 0.500, 0.500).

Its energy of formation is -0.95 eV per atom. The calculation puts the polymorph energy (0 for the lowest one) at 0.5 kJ/mol of atoms.

(9)
Density functional theory data (PBE) for an optimized crystal structure of TmLuPd2.

The structure belongs to space group R-3m (No. 166, hexagonal axes); the cell edges are 4.0168, 4.0168 and 19.6595 Å and the angles 90.00°, 90.00° and 120.00°. The asymmetric unit holds Tm at (0.0000, 0.0000, 0.0000), Lu at (0.0000, 0.0000, 0.5000) and Pd at (0.0000, 0.0000, 0.2489).

Its energy of formation is -0.76 eV per atom. The calculation puts the polymorph energy (0 for the lowest one) at 19.3 kJ/mol of atoms.

(10)
Density functional theory data (PBE) for an optimized crystal structure of TmLu2Pd.

The structure belongs to space group R-3m (No. 166, hexagonal axes); the cell edges are 3.4675, 3.4675 and 31.7446 Å and the angles 90.00°, 90.00° and 120.00°. The asymmetric unit holds Tm at (0.0000, 0.0000, 0.0000), Lu at (0.0000, 0.0000, 0.1045) and Pd at (0.0000, 0.0000, 0.5000).

Its energy of formation is -0.11 eV per atom. The calculation puts the polymorph energy (0 for the lowest one) at 32.1 kJ/mol of atoms.

(11)
Density functional theory data (PBE) for an optimized crystal structure of TmLu2Pd.

The structure belongs to space group P4/mmm (No. 123); the cell edges are 3.498, 3.498 and 8.215 Å and the angles 90.00°, 90.00° and 90.00°. The asymmetric unit holds Tm at (0.000, 0.000, 0.000), Lu at (0.500, 0.500, 0.299) and Pd at (0.000, 0.000, 0.500).

Its energy of formation is -0.45 eV per atom. The calculation puts the polymorph energy (0 for the lowest one) at 0.0 kJ/mol of atoms.

(12)
Density functional theory data (PBE) for an optimized crystal structure of TmLuPd2.

The structure belongs to space group Fm-3m (No. 225); the cell edges are 6.905, 6.905 and 6.905 Å and the angles 90.00°, 90.00° and 90.00°. The asymmetric unit holds Tm at (0.000, 0.000, 0.000), Lu at (0.000, 0.000, 0.500) and Pd at (0.250, 0.250, 0.250).

Its energy of formation is -0.96 eV per atom. The calculation puts the polymorph energy (0 for the lowest one) at 0.0 kJ/mol of atoms.

no.,E_tot (eV/f.u.)
1,-13.66
2,-19.61
3,-19.74
4,-19.96
5,-30.99
6,-18.79
7,-34.70
8,-23.19
9,-22.42
10,-19.16
11,-20.49
12,-23.22